# 1
# Ac2AlCoS6, relaxed, DFT PBE
data_Ac2AlCoS6
_chemical_formula_sum 'Ac4 Al2 Co2 S12'
_cell_length_a 6.586
_cell_length_b 9.223
_cell_length_c 6.674
_cell_angle_alpha 90.00
_cell_angle_beta 90.00
_cell_angle_gamma 90.00
_space_group_name_H-M_alt 'P m m n'
_space_group_IT_number 59
loop_
_space_group_symop_operation_xyz
'x,y,z'
'-x,-y,-z'
'-x+1/2,-y+1/2,z'
'x+1/2,y+1/2,-z'
'x+1/2,-y,-z'
'-x+1/2,y,z'
'-x,y+1/2,-z'
'x,-y+1/2,z'
loop_
_atom_site_label
_atom_site_type_symbol
_atom_site_fract_x
_atom_site_fract_y
_atom_site_fract_z
Ac1 Ac 0.250 0.000 0.239
Al1 Al 0.250 0.250 0.736
Co1 Co 0.250 0.750 0.750
S1 S 0.000 0.250 0.010
S2 S 0.010 0.750 0.502
S3 S 0.250 0.504 0.778
# E_form (uncorrected) ... -1.256 eV/atom
# Total magnetization ... 0.29 μB per formula unit
# V ... 405.40 Å³/cell
# E_tot ... -112.78 eV for the cell shown

# 2
# Ac2ScAl12Co3, relaxed, DFT PBE
data_Ac2ScAl12Co3
_chemical_formula_sum 'Ac6 Sc3 Al36 Co9'
_cell_length_a 8.5041
_cell_length_b 8.5041
_cell_length_c 19.4903
_cell_angle_alpha 90.00
_cell_angle_beta 90.00
_cell_angle_gamma 120.00
_space_group_name_H-M_alt 'R -3 m'
_space_group_IT_number 166
_space_group_name_Hall '-R 3 2"'
loop_
_atom_site_label
_atom_site_type_symbol
_atom_site_fract_x
_atom_site_fract_y
_atom_site_fract_z
Ac1 Ac 0.0000 0.0000 0.0889
Sc1 Sc 0.0000 0.0000 0.5000
Al1 Al 0.0578 0.5289 0.8843
Al2 Al 0.0969 0.5485 0.3239
Co1 Co 0.0000 0.5000 0.0000
# Energy of formation from the pure elements ... 0.05 eV/atom
# Total magnetization ... 0.00 μB per formula unit
# V ... 1220.68 Å³/cell
# E_tot ... -239.71 eV for the cell shown

# 3
# AcAl2Co2Si, relaxed, DFT PBE
data_AcAl2Co2Si
_chemical_formula_sum 'Ac1 Al2 Co2 Si1'
_cell_length_a 4.300
_cell_length_b 4.300
_cell_length_c 6.033
_cell_angle_alpha 90.00
_cell_angle_beta 90.00
_cell_angle_gamma 90.00
_space_group_name_H-M_alt 'P 4/m m m'
_space_group_IT_number 123
_space_group_name_Hall '-P 4 2'
loop_
_atom_site_label
_atom_site_type_symbol
_atom_site_fract_x
_atom_site_fract_y
_atom_site_fract_z
Ac1 Ac 0.000 0.000 0.000
Al1 Al 0.500 0.500 0.270
Co1 Co 0.000 0.500 0.500
Si1 Si 0.000 0.000 0.500
# E_form (uncorrected) ... -0.335 eV/atom
# Total magnetization ... 0.77 μB per formula unit
# V ... 111.57 Å³/cell
# E_tot ... -33.24 eV for the cell shown

# 4
# AcAl3Cr, relaxed, DFT PBE
data_AcAl3Cr
_chemical_formula_sum 'Ac1 Al3 Cr1'
_cell_length_a 4.781
_cell_length_b 4.781
_cell_length_c 4.781
_cell_angle_alpha 90.00
_cell_angle_beta 90.00
_cell_angle_gamma 90.00
_space_group_name_H-M_alt 'P m -3 m'
_space_group_IT_number 221
_space_group_name_Hall '-P 4 2 3'
loop_
_atom_site_label
_atom_site_type_symbol
_atom_site_fract_x
_atom_site_fract_y
_atom_site_fract_z
Ac1 Ac 0.000 0.000 0.000
Al1 Al 0.000 0.500 0.500
Cr1 Cr 0.500 0.500 0.500
# Energy of formation from the pure elements ... -0.13 eV/atom
# Total magnetization ... 0.01 μB per formula unit
# V ... 109.30 Å³/cell
# E_tot ... -25.63 eV for the cell shown

Which of these has the lowest V?
AcAl3Cr

Which of these has the lowest E_tot?
Ac2ScAl12Co3